1.
! LiNbP2O, optimized geometry, DFT GGA-PBE; values from VASP
! Polymorph energy (0 for the lowest one)   0.000 eV per formula unit
! Raw formation energy   -0.509 eV/atom
! Symmetry   No. 123
&SYSTEM
  ibrav = 0, nat = 5, ntyp = 4
/
ATOMIC_SPECIES
Li 6.94 Li.upf
P 30.97 P.upf
Nb 92.91 Nb.upf
O 16.00 O.upf
ATOMIC_POSITIONS crystal
Li 0.5000 0.5000 0.5000
P 0.5000 0.0000 0.0000
P 0.0000 0.5000 0.0000
Nb 0.0000 0.0000 0.0000
O 0.0000 0.0000 0.5000
CELL_PARAMETERS angstrom
-1.2840 0.8907 4.7039
4.6907 -0.7403 1.4205
0.7616 3.8319 -0.5177


2.
! LiNbSn3P6O24, optimized geometry, DFT GGA-PBE; values from VASP
! Polymorph energy (0 for the lowest one)   0.000 eV per formula unit
! Raw formation energy   -2.133 eV/atom
! Symmetry   No. 1
&SYSTEM
  ibrav = 0, nat = 35, ntyp = 5
/
ATOMIC_SPECIES
P 30.97 P.upf
Sn 118.71 Sn.upf
O 16.00 O.upf
Li 6.94 Li.upf
Nb 92.91 Nb.upf
ATOMIC_POSITIONS crystal
P 0.4896 0.9535 0.7534
P 0.5017 0.0382 0.2584
P 0.2163 0.2477 0.7547
P 0.2095 0.4580 0.2536
P 0.7870 0.7463 0.2485
P 0.7864 0.5220 0.7508
Sn 0.2961 0.6400 0.9414
Sn 0.2898 0.1390 0.4389
Sn 0.7132 0.3554 0.0789
O 0.1490 0.3838 0.7595
O 0.3604 0.7601 0.7676
O 0.8466 0.6052 0.2524
O 0.4023 0.8898 0.0910
O 0.6516 0.9515 0.7196
O 0.3292 0.9707 0.5919
O 0.7939 0.5060 0.9212
O 0.4032 0.2859 0.9365
O 0.6233 0.3346 0.5941
O 0.0027 0.3930 0.2432
O 0.7369 0.7466 0.3930
O 0.6474 0.2401 0.2607
O 0.3200 0.0157 0.2696
O 0.1867 0.4842 0.0783
O 0.6627 0.0265 0.4306
O 0.7391 0.6723 0.6983
O 0.2694 0.3169 0.2954
O 0.2650 0.2672 0.6109
O 0.6251 0.1154 0.9249
O 0.9672 0.9466 0.2852
O 0.9981 0.5871 0.7679
O 0.0169 0.0472 0.7033
O 0.3926 0.6518 0.4064
O 0.5878 0.6857 0.0646
Li 0.8721 0.3553 0.5490
Nb 0.7040 0.8466 0.5680
CELL_PARAMETERS angstrom
8.6340 0.0064 -0.0033
-4.2964 7.5041 -0.0421
-4.3073 -2.5119 7.5494


3.
! LiNbSn3P6O24, optimized geometry, DFT GGA-PBE; values from VASP
! Polymorph energy (0 for the lowest one)   0.203 eV per formula unit
! Raw formation energy   -2.127 eV/atom
! Symmetry   No. 146
&SYSTEM
  ibrav = 0, nat = 35, ntyp = 5
/
ATOMIC_SPECIES
P 30.97 P.upf
O 16.00 O.upf
Sn 118.71 Sn.upf
Li 6.94 Li.upf
Nb 92.91 Nb.upf
ATOMIC_POSITIONS crystal
P 0.0330 0.4555 0.7547
P 0.2512 0.9648 0.5371
P 0.9648 0.5371 0.2512
P 0.5371 0.2512 0.9648
P 0.7547 0.0330 0.4555
P 0.4555 0.7547 0.0330
O 0.5572 0.1858 0.4767
O 0.8485 0.4715 0.7689
O 0.2047 0.9874 0.3856
O 0.4715 0.7689 0.8485
O 0.0983 0.8979 0.7313
O 0.2312 0.1508 0.5247
O 0.4767 0.5572 0.1858
O 0.8102 0.9921 0.6130
O 0.2576 0.9004 0.0994
O 0.0994 0.2576 0.9004
O 0.7313 0.0983 0.8979
O 0.9004 0.0994 0.2576
O 0.8123 0.5263 0.4464
O 0.5247 0.2312 0.1508
O 0.9874 0.3856 0.2047
O 0.3856 0.2047 0.9874
O 0.4464 0.8123 0.5263
O 0.1858 0.4767 0.5572
O 0.1508 0.5247 0.2312
O 0.6130 0.8102 0.9921
O 0.9921 0.6130 0.8102
O 0.5263 0.4464 0.8123
O 0.8979 0.7313 0.0983
O 0.7689 0.8485 0.4715
Sn 0.1473 0.1473 0.1473
Sn 0.3545 0.3545 0.3545
Sn 0.6466 0.6466 0.6466
Li 0.0213 0.0213 0.0213
Nb 0.8559 0.8559 0.8559
CELL_PARAMETERS angstrom
9.0851 0.1369 0.0956
4.8858 7.6607 0.0956
4.8858 2.7269 7.1596


4.
! LiTi3NbP6O24, optimized geometry, DFT GGA-PBE; values from VASP
! Raw formation energy   -2.506 eV/atom
! Symmetry   No. 146
&SYSTEM
  ibrav = 0, nat = 35, ntyp = 5
/
ATOMIC_SPECIES
Ti 47.87 Ti.upf
P 30.97 P.upf
O 16.00 O.upf
Nb 92.91 Nb.upf
Li 6.94 Li.upf
ATOMIC_POSITIONS crystal
Ti 0.3616 0.3616 0.3616
Ti 0.6390 0.6390 0.6390
Ti 0.1463 0.1463 0.1463
P 0.0310 0.4543 0.7539
P 0.5327 0.2546 0.9686
P 0.9686 0.5327 0.2546
P 0.7539 0.0310 0.4543
P 0.4543 0.7539 0.0310
P 0.2546 0.9686 0.5327
O 0.7220 0.0882 0.9288
O 0.2752 0.1422 0.5065
O 0.4303 0.7919 0.5464
O 0.5763 0.2078 0.4447
O 0.6198 0.8020 0.9956
O 0.9956 0.6198 0.8020
O 0.0025 0.3713 0.2043
O 0.8565 0.4908 0.7266
O 0.2679 0.9197 0.0654
O 0.5464 0.4303 0.7919
O 0.9197 0.0654 0.2679
O 0.5065 0.2752 0.1422
O 0.0654 0.2679 0.9197
O 0.2078 0.4447 0.5763
O 0.0882 0.9288 0.7220
O 0.8020 0.9956 0.6198
O 0.7266 0.8565 0.4908
O 0.4908 0.7266 0.8565
O 0.3713 0.2043 0.0025
O 0.9288 0.7220 0.0882
O 0.7919 0.5464 0.4303
O 0.2043 0.0025 0.3713
O 0.4447 0.5763 0.2078
O 0.1422 0.5065 0.2752
Nb 0.8572 0.8572 0.8572
Li 0.0181 0.0181 0.0181
CELL_PARAMETERS angstrom
8.8431 -0.0116 -0.0081
4.6130 7.5446 -0.0081
4.6130 2.5825 7.0889


5.
! Li2PaNbO6, optimized geometry, DFT GGA-PBE; values from VASP
! Raw formation energy   -2.782 eV/atom
! Symmetry   No. 14
&SYSTEM
  ibrav = 0, nat = 20, ntyp = 4
/
ATOMIC_SPECIES
Nb 92.91 Nb.upf
O 16.00 O.upf
Li 6.94 Li.upf
Pa 231.04 Pa.upf
ATOMIC_POSITIONS crystal
Nb 0.0000 0.5000 0.0000
Nb 0.5000 0.0000 0.5000
O 0.6924 0.6795 0.0634
O 0.6268 0.9719 0.7388
O 0.8305 0.1993 0.0624
O 0.6695 0.6993 0.4376
O 0.8732 0.4719 0.7612
O 0.3732 0.0281 0.2612
O 0.1268 0.5281 0.2388
O 0.3305 0.3007 0.5624
O 0.8076 0.1795 0.4366
O 0.3076 0.3205 0.9366
O 0.1695 0.8007 0.9376
O 0.1924 0.8205 0.5634
Li 0.0043 0.0383 0.2522
Li 0.5043 0.4617 0.7522
Li 0.9957 0.9617 0.7478
Li 0.4957 0.5383 0.2478
Pa 0.0000 0.5000 0.5000
Pa 0.5000 0.0000 0.0000
CELL_PARAMETERS angstrom
-0.8631 5.3129 0.4143
-3.5556 -0.2242 -4.5313
-6.1412 -1.3741 4.8869


6.
! LiPaNbO6, optimized geometry, DFT GGA-PBE; values from VASP
! Raw formation energy   -2.621 eV/atom
! Symmetry   No. 149
&SYSTEM
  ibrav = 0, nat = 9, ntyp = 4
/
ATOMIC_SPECIES
Nb 92.91 Nb.upf
O 16.00 O.upf
Li 6.94 Li.upf
Pa 231.04 Pa.upf
ATOMIC_POSITIONS crystal
Nb 0.5000 0.6667 0.3333
O 0.2654 0.6591 0.0127
O 0.2654 0.3536 0.3409
O 0.7346 0.6591 0.6464
O 0.7346 0.9873 0.3409
O 0.7346 0.3536 0.0127
O 0.2654 0.9873 0.6464
Li 0.5000 0.0000 0.0000
Pa 0.0000 0.3333 0.6667
CELL_PARAMETERS angstrom
-1.2326 3.2161 -3.4097
2.7112 -2.7242 -3.5496
-5.0553 -1.0716 0.8167


7.
! Li4PaNbO8, optimized geometry, DFT GGA-PBE; values from VASP
! Raw formation energy   -2.221 eV/atom
! Symmetry   No. 160
&SYSTEM
  ibrav = 0, nat = 14, ntyp = 4
/
ATOMIC_SPECIES
O 16.00 O.upf
Li 6.94 Li.upf
Pa 231.04 Pa.upf
Nb 92.91 Nb.upf
ATOMIC_POSITIONS crystal
O 0.2699 0.2699 0.1904
O 0.7634 0.2492 0.7382
O 0.7554 0.2206 0.2687
O 0.2492 0.2492 0.7382
O 0.7554 0.7554 0.2687
O 0.2206 0.7554 0.2687
O 0.7436 0.7436 0.7691
O 0.2492 0.7634 0.7382
Li 0.5010 0.0030 0.4930
Li 0.0030 0.0030 0.4930
Li 0.0030 0.5010 0.4930
Li 0.6121 0.6121 0.1638
Pa 0.9879 0.9879 0.0364
Nb 0.3864 0.3864 0.8408
CELL_PARAMETERS angstrom
-0.8102 -5.7540 -2.1707
4.8645 -3.8016 -0.6013
0.6057 -4.9040 3.9104


8.
! LiPaNb2O8, optimized geometry, DFT GGA-PBE; values from VASP
! Raw formation energy   -2.777 eV/atom
! Symmetry   No. 82
&SYSTEM
  ibrav = 0, nat = 12, ntyp = 4
/
ATOMIC_SPECIES
O 16.00 O.upf
Nb 92.91 Nb.upf
Pa 231.04 Pa.upf
Li 6.94 Li.upf
ATOMIC_POSITIONS crystal
O 0.7834 0.8396 0.1793
O 0.6603 0.2166 0.8207
O 0.3354 0.8997 0.3061
O 0.1604 0.6042 0.8207
O 0.1003 0.0294 0.6939
O 0.5937 0.6646 0.6939
O 0.3958 0.3397 0.1793
O 0.9706 0.4063 0.3061
Nb 0.2500 0.7500 0.5000
Nb 0.5000 0.5000 0.0000
Pa 0.0000 0.0000 0.0000
Li 0.7500 0.2500 0.5000
CELL_PARAMETERS angstrom
5.1996 0.0000 0.0000
0.0000 5.1996 0.0000
-2.5998 -2.5998 5.4164


9.
! LiNbPbO4, optimized geometry, DFT GGA-PBE; values from VASP
! Raw formation energy   -1.989 eV/atom
! Symmetry   No. 11
&SYSTEM
  ibrav = 0, nat = 14, ntyp = 4
/
ATOMIC_SPECIES
O 16.00 O.upf
Nb 92.91 Nb.upf
Li 6.94 Li.upf
Pb 207.20 Pb.upf
ATOMIC_POSITIONS crystal
O 0.5051 0.2500 0.4058
O 0.9246 0.0159 0.7604
O 0.9246 0.4841 0.7604
O 0.4743 0.7500 0.1617
O 0.5257 0.2500 0.8383
O 0.0754 0.5159 0.2396
O 0.0754 0.9841 0.2396
O 0.4949 0.7500 0.5942
Nb 0.7046 0.2500 0.6794
Nb 0.2954 0.7500 0.3206
Li 0.8278 0.7500 0.6138
Li 0.1722 0.2500 0.3862
Pb 0.2638 0.2500 0.0052
Pb 0.7362 0.7500 0.9948
CELL_PARAMETERS angstrom
-5.2991 3.1332 -0.5981
-1.1560 -2.9486 -5.2046
-0.7377 -6.1411 3.6431


10.
! LiNbPb2O6, optimized geometry, DFT GGA-PBE; values from VASP
! Raw formation energy   -1.606 eV/atom
! Symmetry   No. 14
&SYSTEM
  ibrav = 0, nat = 20, ntyp = 4
/
ATOMIC_SPECIES
Pb 207.20 Pb.upf
Li 6.94 Li.upf
O 16.00 O.upf
Nb 92.91 Nb.upf
ATOMIC_POSITIONS crystal
Pb 0.5261 0.5462 0.7654
Pb 0.4739 0.4538 0.2346
Pb 0.0261 0.9538 0.2654
Pb 0.9739 0.0462 0.7346
Li 0.5000 0.0000 0.0000
Li 0.0000 0.5000 0.5000
O 0.1826 0.2199 0.0869
O 0.7893 0.8035 0.5492
O 0.8654 0.5775 0.2179
O 0.3654 0.9225 0.7179
O 0.1346 0.4225 0.7821
O 0.6346 0.0775 0.2821
O 0.2893 0.6965 0.0492
O 0.8174 0.7801 0.9131
O 0.3174 0.7199 0.4131
O 0.7107 0.3035 0.9508
O 0.6826 0.2801 0.5869
O 0.2107 0.1965 0.4508
Nb 0.5000 0.0000 0.5000
Nb 0.0000 0.5000 0.0000
CELL_PARAMETERS angstrom
5.5593 0.0000 0.0552
0.0000 5.6941 0.0000
0.1277 0.0000 8.5943


11.
! Li2NbPb2O6, optimized geometry, DFT GGA-PBE; values from VASP
! Raw formation energy   -1.615 eV/atom
! Symmetry   No. 166
&SYSTEM
  ibrav = 0, nat = 11, ntyp = 4
/
ATOMIC_SPECIES
O 16.00 O.upf
Pb 207.20 Pb.upf
Li 6.94 Li.upf
Nb 92.91 Nb.upf
ATOMIC_POSITIONS crystal
O 0.7650 0.7650 0.2492
O 0.7791 0.2350 0.7508
O 0.2209 0.7650 0.2492
O 0.2350 0.7791 0.7508
O 0.2350 0.2350 0.7508
O 0.7650 0.2209 0.2492
Pb 0.2036 0.2036 0.3893
Pb 0.7964 0.7964 0.6107
Li 0.5843 0.5843 0.2471
Li 0.4157 0.4157 0.7529
Nb 0.0000 0.0000 0.0000
CELL_PARAMETERS angstrom
5.9453 0.0000 0.0000
2.9727 5.1488 0.0000
2.9727 1.7163 5.1487


12.
! LiNbPb2O5, optimized geometry, DFT GGA-PBE; values from VASP
! Raw formation energy   -1.768 eV/atom
! Symmetry   No. 36
&SYSTEM
  ibrav = 0, nat = 18, ntyp = 4
/
ATOMIC_SPECIES
Pb 207.20 Pb.upf
O 16.00 O.upf
Nb 92.91 Nb.upf
Li 6.94 Li.upf
ATOMIC_POSITIONS crystal
Pb 0.8478 0.6957 0.8316
Pb 0.1522 0.3043 0.3316
Pb 0.0562 0.1123 0.6721
Pb 0.9438 0.8877 0.1721
O 0.7174 0.4348 0.1362
O 0.5136 0.0272 0.2851
O 0.4864 0.9728 0.7851
O 0.3154 0.6309 0.4185
O 0.6846 0.3691 0.9185
O 0.9384 0.8768 0.5345
O 0.0616 0.1232 0.0345
O 0.6657 0.3314 0.4809
O 0.2826 0.5652 0.6362
O 0.3343 0.6686 0.9809
Nb 0.2009 0.4018 0.0305
Nb 0.7991 0.5982 0.5305
Li 0.5470 0.0940 0.9346
Li 0.4530 0.9060 0.4346
CELL_PARAMETERS angstrom
-1.5099 -0.7227 -2.7623
7.0231 0.3855 -2.0515
1.3068 -11.5404 2.3050


13.
! Li3PrNb4O12, optimized geometry, DFT GGA-PBE; values from VASP
! Raw formation energy   -2.570 eV/atom
! Symmetry   No. 204
&SYSTEM
  ibrav = 0, nat = 20, ntyp = 4
/
ATOMIC_SPECIES
Li 6.94 Li.upf
O 16.00 O.upf
Nb 92.91 Nb.upf
Pr 140.91 Pr.upf
ATOMIC_POSITIONS crystal
Li 0.5000 0.5000 0.0000
Li 0.5000 0.0000 0.5000
Li 0.0000 0.5000 0.5000
O 0.4775 0.2930 0.1845
O 0.8155 0.5225 0.7070
O 0.8155 0.1084 0.2930
O 0.7070 0.8155 0.5225
O 0.5225 0.7070 0.8155
O 0.7070 0.1845 0.8916
O 0.1845 0.8916 0.7070
O 0.2930 0.8155 0.1084
O 0.8916 0.7070 0.1845
O 0.1845 0.4775 0.2930
O 0.1084 0.2930 0.8155
O 0.2930 0.1845 0.4775
Nb 0.5000 0.5000 0.5000
Nb 0.0000 0.5000 0.0000
Nb 0.5000 0.0000 0.0000
Nb 0.0000 0.0000 0.5000
Pr 0.0000 0.0000 0.0000
CELL_PARAMETERS angstrom
-0.5716 6.0235 2.9247
1.1144 -4.6746 4.6979
5.1370 0.0916 -4.3320


14.
! LiPuNbO6, optimized geometry, DFT GGA-PBE; values from VASP
! Raw formation energy   -2.367 eV/atom
! Symmetry   No. 163
&SYSTEM
  ibrav = 0, nat = 18, ntyp = 4
/
ATOMIC_SPECIES
Pu 244.00 Pu.upf
O 16.00 O.upf
Li 6.94 Li.upf
Nb 92.91 Nb.upf
ATOMIC_POSITIONS crystal
Pu 0.3333 0.6667 0.2500
Pu 0.6667 0.3333 0.7500
O 0.6400 0.6340 0.1382
O 0.0060 0.6400 0.8618
O 0.9940 0.6340 0.3618
O 0.3600 0.9940 0.6382
O 0.3600 0.3660 0.8618
O 0.3660 0.3600 0.3618
O 0.3660 0.0060 0.1382
O 0.6400 0.0060 0.3618
O 0.0060 0.3660 0.6382
O 0.6340 0.6400 0.6382
O 0.9940 0.3600 0.1382
O 0.6340 0.9940 0.8618
Li 0.0000 0.0000 0.5000
Li 0.0000 0.0000 0.0000
Nb 0.6667 0.3333 0.2500
Nb 0.3333 0.6667 0.7500
CELL_PARAMETERS angstrom
5.4908 0.0000 0.0000
-2.7454 4.7551 0.0000
0.0000 0.0000 9.4285


15.
! RbLiNbO4, optimized geometry, DFT GGA-PBE; values from VASP
! Raw formation energy   -1.986 eV/atom
! Symmetry   No. 82
&SYSTEM
  ibrav = 0, nat = 7, ntyp = 4
/
ATOMIC_SPECIES
Nb 92.91 Nb.upf
Li 6.94 Li.upf
O 16.00 O.upf
Rb 85.47 Rb.upf
ATOMIC_POSITIONS crystal
Nb 0.5000 0.5000 0.0000
Li 0.2500 0.7500 0.5000
O 0.3819 0.7257 0.2504
O 0.2743 0.1316 0.7496
O 0.4753 0.6181 0.7496
O 0.8684 0.5247 0.2504
Rb 0.0000 0.0000 0.0000
CELL_PARAMETERS angstrom
5.8833 0.0000 0.0000
0.0000 5.8833 0.0000
-2.9416 -2.9417 4.2315


16.
! RbLiNb2O6, optimized geometry, DFT GGA-PBE; values from VASP
! Raw formation energy   -2.402 eV/atom
! Symmetry   No. 15
&SYSTEM
  ibrav = 0, nat = 20, ntyp = 4
/
ATOMIC_SPECIES
O 16.00 O.upf
Rb 85.47 Rb.upf
Li 6.94 Li.upf
Nb 92.91 Nb.upf
ATOMIC_POSITIONS crystal
O 0.0627 0.6550 0.5813
O 0.4373 0.4187 0.3450
O 0.2323 0.9449 0.7490
O 0.7323 0.7490 0.9449
O 0.0389 0.6308 0.2050
O 0.7677 0.0551 0.2510
O 0.9373 0.3450 0.4187
O 0.2677 0.2510 0.0551
O 0.5389 0.2050 0.6308
O 0.9611 0.3692 0.7950
O 0.4611 0.7950 0.3692
O 0.5627 0.5813 0.6550
Rb 0.7500 0.1066 0.8934
Rb 0.2500 0.8934 0.1066
Li 0.2500 0.2042 0.7958
Li 0.7500 0.7958 0.2042
Nb 0.6622 0.2653 0.4270
Nb 0.3378 0.7347 0.5730
Nb 0.8378 0.5730 0.7347
Nb 0.1622 0.4270 0.2653
CELL_PARAMETERS angstrom
6.4541 -0.1126 -0.1169
1.9401 7.5517 -0.8449
1.9401 -1.1242 7.5152